CrMoOs2 | PBE | optimized geometry

Cell and atoms, written as POSCAR:
```
CrMoOs2
1.0
5.299 -0.002 0.004
2.721 4.547 -0.004
-3.473 -3.220 2.377
Cr Mo Os
1 1 2
Cartesian
2.918 -0.475 1.190
1.629 1.800 1.187
7.795 4.417 0.000
4.236 2.400 0.000
```

Summary:
Space-group type   Immm (71)
ΔE_f   5.077 kcal/mol of atoms
Magnetization   0.00 μB per cell
D(E_F)   3.811 states/eV/f.u.
Calculated volume   57 Å³/cell

Cr2MoOs | PBE | optimized geometry

Cell and atoms, written as POSCAR:
```
Cr2MoOs
1.0
6.777 0.000 0.000
0.000 6.777 0.000
3.389 3.389 2.548
Cr Mo Os
4 2 2
Cartesian
5.143 1.694 0.637
1.634 5.083 0.637
5.083 5.023 1.911
8.471 8.531 1.911
3.389 3.389 0.000
3.389 6.777 1.274
0.000 0.000 0.000
6.777 3.389 1.274
```

Summary:
Space-group type   I-42d (122)
ΔE_f   18.650 kcal/mol of atoms
Magnetization   0.00 μB per cell
D(E_F)   4.639 states/eV/f.u.
Calculated volume   117 Å³/cell